Entry 1:
First-principles (GGA-PBE) data for a relaxed NaGaTe2 crystal, as listed in the Alexandria database.

## Properties
As for the total magnetic moment: 0.0 Bohr magnetons per cell. As for the total DFT energy (no corrections): -0.1188 Ha/atom.

Lattice parameters (Å, degrees): 8.384 8.384 15.309 92.91 92.91 99.13
Element x y z (fractional)
Na  0.112  0.884  0.601
Na  0.116  0.888  0.899
Na  0.155  0.378  0.871
Na  0.378  0.155  0.371
Na  0.622  0.845  0.629
Na  0.845  0.622  0.129
Na  0.884  0.112  0.101
Na  0.888  0.116  0.399
Ga  0.069  0.694  0.353
Ga  0.267  0.434  0.162
Ga  0.306  0.931  0.147
Ga  0.434  0.267  0.662
Ga  0.566  0.733  0.338
Ga  0.694  0.069  0.853
Ga  0.733  0.566  0.838
Ga  0.931  0.306  0.647
Te  0.019  0.405  0.268
Te  0.063  0.937  0.250
Te  0.177  0.260  0.549
Te  0.228  0.657  0.048
Te  0.260  0.177  0.049
Te  0.343  0.772  0.452
Te  0.405  0.019  0.768
Te  0.454  0.546  0.750
Te  0.546  0.454  0.250
Te  0.595  0.981  0.232
Te  0.657  0.228  0.548
Te  0.740  0.823  0.951
Te  0.772  0.343  0.952
Te  0.823  0.740  0.451
Te  0.937  0.063  0.750
Te  0.981  0.595  0.732


Entry 2:
First-principles (GGA-PBE) data for a relaxed LaInRh crystal, as listed in the Alexandria database.

## Properties
The formation energy comes out at 54 kJ/mol of formula units. As for the total magnetic moment: 0.0 Bohr magnetons per cell.

Lattice parameters (Å, degrees): 4.976 4.976 4.976 60.00 60.00 60.00
Element x y z (fractional)
La  0.000  0.000  0.000
In  0.750  0.750  0.750
Rh  0.250  0.250  0.250